Record 1
Material: CaTl2Sn
Method: DFT, PBE
State: relaxed

Values from the calculation:
Relative energy among the computed polymorphs: 0.000 eV per atom
Mass density: 8.37 g/cm³
Crystal system: tetragonal
Calculated volume: 112.66 Å³/cell
Formation enthalpy at 0 K: -1.16 eV per formula unit
Final energy: -0.2186 Ry/atom
Total moment: 0.00 μB per cell

The structure in POSCAR format:
```
CaTl2Sn
1.0
-1.219 -4.103 -2.142
4.004 0.236 -2.730
2.446 -2.487 3.372
Ca Tl Sn
1 2 1
direct
0.500 0.500 0.500 Ca
0.000 0.500 0.000 Tl
0.000 0.000 0.500 Tl
0.500 0.000 0.000 Sn
```

***

Record 2
Material: GaC3Br
Method: DFT, PBE
State: relaxed

Values from the calculation:
Relative energy among the computed polymorphs: 0.000 eV per atom
Mass density: 4.34 g/cm³
Crystal system: cubic
Calculated volume: 71.11 Å³/cell
Final energy: -0.2596 Ry/atom
Total moment: 1.64 μB per cell

The structure in POSCAR format:
```
GaC3Br
1.0
-2.462 2.078 2.605
-1.130 -3.567 1.778
3.135 0.347 2.686
Br C Ga
1 3 1
direct
0.500 0.500 0.500 Br
0.000 0.000 0.500 C
0.500 0.000 0.000 C
0.000 0.500 0.000 C
0.000 0.000 0.000 Ga
```

***

Record 3
Material: La12InCu5
Method: DFT, PBE
State: relaxed

Values from the calculation:
Mass density: 6.47 g/cm³
Crystal system: orthorhombic
Calculated volume: 538.84 Å³/cell
Formation enthalpy at 0 K: -2.47 eV per formula unit
Final energy: -0.3463 Ry/atom
Total moment: 0.00 μB per cell

The structure in POSCAR format:
```
La12InCu5
1.0
-6.241 -6.014 -2.100
5.261 -2.983 6.554
-3.076 7.660 3.374
La Cu In
12 5 1
direct
0.106 0.815 0.290 La
0.695 0.323 0.017 La
0.814 0.593 0.779 La
0.894 0.185 0.710 La
0.305 0.677 0.983 La
0.814 0.036 0.221 La
0.305 0.323 0.628 La
0.186 0.964 0.779 La
0.475 0.185 0.290 La
0.525 0.815 0.710 La
0.695 0.677 0.372 La
0.186 0.407 0.221 La
0.500 0.116 0.616 Cu
0.360 0.360 0.000 Cu
0.000 0.000 0.000 Cu
0.500 0.884 0.384 Cu
0.640 0.640 0.000 Cu
0.000 0.500 0.500 In
```

***

Record 4
Material: Li2HgPb2
Method: DFT, PBE
State: relaxed

Values from the calculation:
Relative energy among the computed polymorphs: 0.020 eV per atom
Mass density: 9.12 g/cm³
Crystal system: tetragonal
Calculated volume: 228.92 Å³/cell
Formation enthalpy at 0 K: -0.97 eV per formula unit
Final energy: -0.1840 Ry/atom
Total moment: 0.00 μB per cell

The structure in POSCAR format:
```
Li2HgPb2
1.0
7.130 0.000 0.000
0.000 7.130 0.000
0.000 0.000 4.503
Pb Li Hg
4 4 2
direct
0.668 0.832 0.500 Pb
0.832 0.332 0.500 Pb
0.332 0.168 0.500 Pb
0.168 0.668 0.500 Pb
0.640 0.140 0.000 Li
0.140 0.360 0.000 Li
0.860 0.640 0.000 Li
0.360 0.860 0.000 Li
0.000 0.000 0.000 Hg
0.500 0.500 0.000 Hg
```

***

Record 5
Material: TbY3
Method: DFT, PBE
State: relaxed

Values from the calculation:
Relative energy among the computed polymorphs: 0.020 eV per atom
Mass density: 5.50 g/cm³
Crystal system: tetragonal
Calculated volume: 128.42 Å³/cell
Formation enthalpy at 0 K: 0.09 eV per formula unit
Final energy: -0.4398 Ry/atom
Total moment: 0.00 μB per cell

The structure in POSCAR format:
```
TbY3
1.0
-1.142 1.678 -5.844
-0.215 -5.023 -3.604
-2.822 1.390 5.327
Y Tb
3 1
direct
0.250 0.750 0.500 Y
0.500 0.500 0.000 Y
0.750 0.250 0.500 Y
0.000 0.000 0.000 Tb
```

***

Record 6
Material: TlPtAu
Method: DFT, PBE
State: relaxed

Values from the calculation:
Relative energy among the computed polymorphs: 0.000 eV per atom
Mass density: 14.72 g/cm³
Crystal system: cubic
Calculated volume: 67.27 Å³/cell
Formation enthalpy at 0 K: 0.11 eV per formula unit
Final energy: -0.2835 Ry/atom
Total moment: 0.00 μB per cell

The structure in POSCAR format:
```
TlPtAu
1.0
-0.602 1.772 -4.164
-4.054 -0.356 -2.068
-2.615 3.701 -0.549
Pt Au Tl
1 1 1
direct
0.750 0.750 0.750 Pt
0.500 0.500 0.500 Au
0.000 0.000 0.000 Tl
```

***

Record 7
Material: SrCu2Pt
Method: DFT, PBE
State: relaxed

Values from the calculation:
Relative energy among the computed polymorphs: 0.421 eV per atom
Mass density: 8.91 g/cm³
Crystal system: cubic
Calculated volume: 76.37 Å³/cell
Formation enthalpy at 0 K: 0.19 eV per formula unit
Final energy: -0.2889 Ry/atom
Total moment: 0.00 μB per cell

The structure in POSCAR format:
```
SrCu2Pt
1.0
4.762 0.000 0.000
2.381 4.124 0.000
2.381 1.375 3.888
Sr Pt Cu
1 1 2
direct
0.750 0.750 0.750 Sr
0.500 0.500 0.500 Pt
0.250 0.250 0.250 Cu
0.000 0.000 0.000 Cu
```

***

Record 8
Material: ScMn2Fe
Method: DFT, PBE
State: relaxed

Values from the calculation:
Relative energy among the computed polymorphs: 0.072 eV per atom
Mass density: 6.53 g/cm³
Crystal system: orthorhombic
Calculated volume: 53.59 Å³/cell
Formation enthalpy at 0 K: 0.67 eV per formula unit
Final energy: -0.5964 Ry/atom
Total moment: 2.99 μB per cell

The structure in POSCAR format:
```
ScMn2Fe
1.0
4.982 0.008 -0.004
4.088 2.847 -0.004
1.792 0.564 3.786
Fe Sc Mn
1 1 2
direct
0.732 0.732 0.769 Fe
0.499 0.499 0.501 Sc
0.000 0.000 0.000 Mn
0.270 0.270 0.230 Mn
```

***

Record 9
Material: AlPbN2O
Method: DFT, PBE
State: relaxed

Values from the calculation:
Mass density: 7.54 g/cm³
Crystal system: tetragonal
Calculated volume: 61.29 Å³/cell
Final energy: -0.4275 Ry/atom
Total moment: 2.92 μB per cell

The structure in POSCAR format:
```
AlPbN2O
1.0
3.992 0.000 0.000
0.000 3.992 0.000
0.000 0.000 3.845
N Al O Pb
2 1 1 1
direct
0.500 0.000 0.000 N
0.000 0.500 0.000 N
0.000 0.000 0.000 Al
0.000 0.000 0.500 O
0.500 0.500 0.500 Pb
```

***

Record 10
Material: Rb2LaHoO4
Method: DFT, PBE
State: relaxed

Values from the calculation:
Mass density: 5.98 g/cm³
Crystal system: monoclinic
Calculated volume: 149.53 Å³/cell
Final energy: -0.4819 Ry/atom
Total moment: 0.00 μB per cell

The structure in POSCAR format:
```
Rb2LaHoO4
1.0
-0.653 3.549 -0.299
-5.134 -1.231 -3.396
-1.885 0.213 6.636
O La Rb Ho
4 1 2 1
direct
0.500 0.786 0.823 O
0.000 0.741 0.178 O
0.000 0.259 0.822 O
0.500 0.214 0.177 O
0.500 0.500 0.000 La
0.000 0.500 0.500 Rb
0.500 0.000 0.500 Rb
0.000 0.000 0.000 Ho
```

***

Record 11
Material: Sc2CoHg
Method: DFT, PBE
State: relaxed

Values from the calculation:
Mass density: 7.38 g/cm³
Crystal system: tetragonal
Calculated volume: 157.29 Å³/cell
Formation enthalpy at 0 K: 0.05 eV per formula unit
Final energy: -0.3679 Ry/atom
Total moment: 1.32 μB per cell

The structure in POSCAR format:
```
Sc2CoHg
1.0
-1.407 6.825 2.609
-7.184 -0.808 -1.760
-4.804 1.920 2.999
Sc Co Hg
4 2 2
direct
0.875 0.816 0.750 Sc
0.375 0.434 0.750 Sc
0.184 0.625 0.250 Sc
0.566 0.125 0.250 Sc
0.250 0.750 0.500 Co
0.500 0.500 0.000 Co
0.000 0.000 0.000 Hg
0.750 0.250 0.500 Hg
```

***

Record 12
Material: ZnCr2Ru
Method: DFT, PBE
State: relaxed

Values from the calculation:
Mass density: 8.66 g/cm³
Crystal system: tetragonal
Calculated volume: 51.88 Å³/cell
Formation enthalpy at 0 K: 0.79 eV per formula unit
Final energy: -0.5330 Ry/atom
Total moment: 0.00 μB per cell

The structure in POSCAR format:
```
ZnCr2Ru
1.0
2.653 0.000 0.000
0.000 2.653 0.000
0.000 0.000 7.372
Cr Ru Zn
2 1 1
direct
0.000 0.000 0.492 Cr
0.000 0.000 0.008 Cr
0.500 0.500 0.250 Ru
0.500 0.500 0.750 Zn
```

***

Record 13
Material: K3In
Method: DFT, PBE
State: relaxed

Values from the calculation:
Relative energy among the computed polymorphs: 0.046 eV per atom
Mass density: 1.99 g/cm³
Crystal system: orthorhombic
Calculated volume: 386.54 Å³/cell
Formation enthalpy at 0 K: 0.16 eV per formula unit
Final energy: -0.1078 Ry/atom
Total moment: 0.01 μB per cell

The structure in POSCAR format:
```
K3In
1.0
-3.555 -0.531 5.553
5.999 -1.248 3.720
0.852 8.001 1.311
K In
6 2
direct
0.500 0.826 0.747 K
0.000 0.174 0.753 K
0.500 0.826 0.253 K
0.000 0.174 0.247 K
0.500 0.373 0.000 K
0.000 0.627 0.500 K
0.500 0.323 0.500 In
0.000 0.677 0.000 In
```

***

Record 14
Material: Ni6PPt2N
Method: DFT, PBE
State: relaxed

Values from the calculation:
Mass density: 10.85 g/cm³
Crystal system: triclinic
Calculated volume: 120.52 Å³/cell
Final energy: -0.4519 Ry/atom
Total moment: 0.00 μB per cell

The structure in POSCAR format:
```
Ni6PPt2N
1.0
5.004 -0.051 0.524
-0.040 5.203 0.441
-2.148 -2.308 4.206
Ni Pt P N
6 2 1 1
direct
0.148 0.647 0.921 Ni
0.834 0.315 0.004 Ni
0.686 0.821 0.006 Ni
0.828 0.882 0.577 Ni
0.307 0.143 0.929 Ni
0.170 0.139 0.405 Ni
0.704 0.324 0.489 Pt
0.275 0.678 0.484 Pt
0.537 0.560 0.182 P
0.011 0.995 0.001 N
```

***

Record 15
Material: CdHg2Te
Method: DFT, PBE
State: relaxed

Values from the calculation:
Relative energy among the computed polymorphs: 0.005 eV per atom
Mass density: 9.17 g/cm³
Crystal system: monoclinic
Calculated volume: 116.05 Å³/cell
Final energy: -0.0923 Ry/atom
Total moment: 0.00 μB per cell

The structure in POSCAR format:
```
CdHg2Te
1.0
-6.630 -5.140 3.518
-3.608 -5.117 6.599
-3.010 0.735 2.947
Cd Te Hg
1 1 2
direct
0.250 0.250 0.250 Cd
0.750 0.750 0.750 Te
0.005 0.005 0.985 Hg
0.495 0.495 0.515 Hg
```

***

Record 16
Material: CaBIr2Pd
Method: DFT, PBE
State: relaxed

Values from the calculation:
Mass density: 11.73 g/cm³
Crystal system: tetragonal
Calculated volume: 76.70 Å³/cell
Formation enthalpy at 0 K: -1.87 eV per formula unit
Final energy: -0.4920 Ry/atom
Total moment: 0.00 μB per cell

The structure in POSCAR format:
```
CaBIr2Pd
1.0
-0.684 0.302 -4.136
-3.223 -2.677 0.337
-2.695 3.333 0.689
Ca B Pd Ir
1 1 1 2
direct
0.500 0.500 0.500 Ca
0.000 0.000 0.000 B
0.000 0.000 0.500 Pd
0.000 0.500 0.000 Ir
0.500 0.000 0.000 Ir
```

***

Record 17
Material: Ce3DyIr2
Method: DFT, PBE
State: relaxed

Values from the calculation:
Mass density: 11.02 g/cm³
Crystal system: monoclinic
Calculated volume: 291.53 Å³/cell
Formation enthalpy at 0 K: -3.23 eV per formula unit
Final energy: -0.5311 Ry/atom
Total moment: 0.00 μB per cell

The structure in POSCAR format:
```
Ce3DyIr2
1.0
4.099 0.000 0.000
-2.050 8.329 -0.239
0.000 -3.851 8.648
Ir Ce Dy
4 6 2
direct
0.750 0.501 0.108 Ir
0.250 0.499 0.892 Ir
0.525 0.051 0.174 Ir
0.475 0.949 0.826 Ir
0.635 0.271 0.741 Ce
0.944 0.888 0.612 Ce
0.723 0.447 0.388 Ce
0.056 0.112 0.388 Ce
0.365 0.729 0.259 Ce
0.277 0.553 0.612 Ce
0.111 0.222 0.037 Dy
0.889 0.778 0.963 Dy
```

***

Record 18
Material: Bi3RhPb
Method: DFT, PBE
State: relaxed

Values from the calculation:
Relative energy among the computed polymorphs: 0.006 eV per atom
Mass density: 10.74 g/cm³
Crystal system: monoclinic
Calculated volume: 289.85 Å³/cell
Formation enthalpy at 0 K: -0.30 eV per formula unit
Final energy: -0.3381 Ry/atom
Total moment: 0.00 μB per cell

The structure in POSCAR format:
```
Bi3RhPb
1.0
3.437 -0.672 0.000
-1.841 8.821 0.000
0.000 0.000 9.968
Bi Pb Rh
6 2 2
direct
0.543 0.047 0.750 Bi
0.783 0.281 0.032 Bi
0.457 0.953 0.250 Bi
0.783 0.281 0.468 Bi
0.217 0.719 0.532 Bi
0.217 0.719 0.968 Bi
0.441 0.444 0.750 Pb
0.559 0.556 0.250 Pb
0.217 0.214 0.250 Rh
0.783 0.786 0.750 Rh
```

***

Record 19
Material: CuReP2
Method: DFT, PBE
State: relaxed

Values from the calculation:
Relative energy among the computed polymorphs: 0.118 eV per atom
Mass density: 9.53 g/cm³
Crystal system: tetragonal
Calculated volume: 54.33 Å³/cell
Formation enthalpy at 0 K: 0.25 eV per formula unit
Final energy: -0.4982 Ry/atom
Total moment: 0.00 μB per cell

The structure in POSCAR format:
```
CuReP2
1.0
3.021 0.000 0.000
0.000 3.021 0.000
0.000 0.000 5.954
P Cu Re
2 1 1
direct
0.000 0.000 0.016 P
0.000 0.000 0.484 P
0.500 0.500 0.750 Cu
0.500 0.500 0.250 Re
```

***

Record 20
Material: NaMnAg2I
Method: DFT, PBE
State: relaxed

Values from the calculation:
Mass density: 4.58 g/cm³
Crystal system: tetragonal
Calculated volume: 152.62 Å³/cell
Final energy: -0.1987 Ry/atom
Total moment: 5.14 μB per cell

The structure in POSCAR format:
```
NaMnAg2I
1.0
5.219 0.000 0.000
0.000 5.604 0.000
0.000 0.000 5.219
Ag I Na Mn
2 1 1 1
direct
0.500 0.000 0.000 Ag
0.000 0.000 0.500 Ag
0.000 0.500 0.000 I
0.000 0.000 0.000 Na
0.500 0.500 0.500 Mn
```

***

Record 21
Material: Cd2Ag2Sb
Method: DFT, PBE
State: relaxed

Values from the calculation:
Relative energy among the computed polymorphs: 0.043 eV per atom
Mass density: 8.10 g/cm³
Crystal system: tetragonal
Calculated volume: 115.26 Å³/cell
Final energy: -0.1635 Ry/atom
Total moment: 0.00 μB per cell

The structure in POSCAR format:
```
Cd2Ag2Sb
1.0
-2.843 -1.169 -2.495
2.144 -3.191 -0.947
-3.564 -5.953 3.710
Sb Cd Ag
1 2 2
direct
0.000 0.000 0.000 Sb
0.398 0.398 0.205 Cd
0.602 0.602 0.795 Cd
0.750 0.250 0.500 Ag
0.250 0.750 0.500 Ag
```

***

Record 22
Material: YSe
Method: DFT, PBE
State: relaxed

Values from the calculation:
Mass density: 3.74 g/cm³
Crystal system: hexagonal
Calculated volume: 447.79 Å³/cell
Final energy: -0.4706 Ry/atom
Total moment: 0.00 μB per cell

The structure in POSCAR format:
```
YSe
1.0
10.527 0.000 0.000
-5.264 9.117 0.000
0.000 0.000 4.666
Y Se
6 6
direct
0.863 0.331 0.250 Y
0.137 0.669 0.750 Y
0.669 0.532 0.250 Y
0.532 0.863 0.750 Y
0.468 0.137 0.250 Y
0.331 0.468 0.750 Y
0.356 0.332 0.250 Se
0.668 0.024 0.250 Se
0.644 0.668 0.750 Se
0.024 0.356 0.750 Se
0.332 0.976 0.750 Se
0.976 0.644 0.250 Se
```

***

Record 23
Material: MgTl2VI
Method: DFT, PBE
State: relaxed

Values from the calculation:
Mass density: 5.22 g/cm³
Crystal system: tetragonal
Calculated volume: 194.45 Å³/cell
Final energy: -0.1751 Ry/atom
Total moment: 0.00 μB per cell

The structure in POSCAR format:
```
MgTl2VI
1.0
-4.590 1.341 -4.083
-0.981 -4.795 -0.472
-4.111 0.374 4.744
I V Tl Mg
1 1 2 1
direct
0.000 0.000 0.000 I
0.000 0.500 0.000 V
0.500 0.000 0.000 Tl
0.000 0.000 0.500 Tl
0.500 0.500 0.500 Mg
```

***

Record 24
Material: K3Li3MgCl8
Method: DFT, PBE
State: relaxed

Values from the calculation:
Mass density: 1.99 g/cm³
Crystal system: monoclinic
Calculated volume: 371.53 Å³/cell
Final energy: -0.2599 Ry/atom
Total moment: 0.00 μB per cell

The structure in POSCAR format:
```
K3Li3MgCl8
1.0
-5.473 1.315 5.309
3.211 -7.026 -0.588
4.715 6.153 3.336
K Cl Mg Li
3 8 1 3
direct
0.500 0.500 0.000 K
0.000 0.500 0.000 K
0.000 0.000 0.000 K
0.255 0.030 0.305 Cl
0.225 0.970 0.695 Cl
0.745 0.970 0.695 Cl
0.733 0.467 0.700 Cl
0.775 0.551 0.306 Cl
0.225 0.449 0.694 Cl
0.775 0.030 0.305 Cl
0.267 0.533 0.300 Cl
0.000 0.000 0.500 Mg
0.500 0.000 0.500 Li
0.500 0.500 0.500 Li
0.000 0.500 0.500 Li
```

***

Record 25
Material: TcPbNCl2
Method: DFT, PBE
State: relaxed

Values from the calculation:
Mass density: 5.19 g/cm³
Crystal system: tetragonal
Calculated volume: 124.79 Å³/cell
Final energy: -0.3168 Ry/atom
Total moment: 3.79 μB per cell

The structure in POSCAR format:
```
TcPbNCl2
1.0
4.575 0.000 0.000
0.000 5.962 0.000
0.000 0.000 4.575
Pb Cl N Tc
1 2 1 1
direct
0.000 0.500 0.000 Pb
0.500 0.000 0.000 Cl
0.000 0.000 0.500 Cl
0.500 0.500 0.500 N
0.000 0.000 0.000 Tc
```

***

Record 26
Material: Ba2NaCe
Method: DFT, PBE
State: relaxed

Values from the calculation:
Mass density: 4.00 g/cm³
Crystal system: trigonal
Calculated volume: 181.59 Å³/cell
Formation enthalpy at 0 K: 1.55 eV per formula unit
Final energy: -0.1755 Ry/atom
Total moment: 1.88 μB per cell

The structure in POSCAR format:
```
Ba2NaCe
1.0
-0.412 -3.839 -0.047
2.270 -2.157 -2.259
9.954 -3.128 9.690
Na Ba Ce
1 2 1
direct
0.500 0.500 0.500 Na
0.085 0.085 0.744 Ba
0.915 0.915 0.256 Ba
0.000 0.000 0.000 Ce
```